# Mn2PdF GGA+U optimized geometry
# D(E_F) (states/eV/cell): 4.51
# VASP energy (eV/cell): -95.5
# ΔE to the lowest computed polymorph (eV per atom): 0.2116
data_Mn2PdF
_cell_length_a 6.346
_cell_length_b 6.346
_cell_length_c 6.346
_cell_angle_alpha 90.00
_cell_angle_beta 90.00
_cell_angle_gamma 90.00
_symmetry_space_group_name_H-M 'F m -3 m'
_symmetry_Int_Tables_number 225
_symmetry_space_group_name_Hall '-F 4 2 3'
loop_
_atom_site_label
_atom_site_type_symbol
_atom_site_fract_x
_atom_site_fract_y
_atom_site_fract_z
_atom_site_occupancy
Mn1 Mn 0.250 0.250 0.250 1
Pd1 Pd 0.000 0.000 0.000 1
F1 F 0.000 0.000 0.500 1